(1)
Rb3RuC: relaxed, PBE.

Values from the calculation:
Crystal system   cubic
Distance to the lowest polymorph of the same formula   0 meV/atom

a = 6.0029 Å, b = 6.0029 Å, c = 6.0029 Å
α = 90.00°, β = 90.00°, γ = 90.00°
Fractional positions:
Rb 0.0000 0.0000 0.5000
Rb 0.0000 0.5000 0.0000
Rb 0.5000 0.0000 0.0000
Ru 0.5000 0.5000 0.5000
C 0.0000 0.0000 0.0000

(2)
Pm3Pr2Er6: relaxed, PBE.

Values from the calculation:
Crystal system   monoclinic
Distance to the lowest polymorph of the same formula   0 meV/atom

a = 6.1600 Å, b = 6.1600 Å, c = 11.6899 Å
α = 95.04°, β = 95.04°, γ = 120.07°
Fractional positions:
Pm 0.0000 0.0000 0.0000
Pm 0.3358 0.6642 0.0000
Pm 0.6642 0.3358 0.0000
Pr 0.1668 0.8332 0.5000
Pr 0.8332 0.1668 0.5000
Er 0.0832 0.4162 0.2490
Er 0.2510 0.2510 0.7512
Er 0.4162 0.0832 0.2490
Er 0.5838 0.9168 0.7510
Er 0.7490 0.7490 0.2488
Er 0.9168 0.5838 0.7510

(3)
KHg2RhSe: relaxed, PBE.

Values from the calculation:
Crystal system   tetragonal
Formation energy (no corrections)   -0.270 eV/atom

a = 5.3317 Å, b = 5.3317 Å, c = 4.9721 Å
α = 90.00°, β = 90.00°, γ = 90.00°
Fractional positions:
K 0.0000 0.0000 0.0000
Hg 0.0000 0.5000 0.5000
Hg 0.5000 0.0000 0.5000
Rh 0.5000 0.5000 0.5000
Se 0.5000 0.5000 0.0000

(4)
InTe2Pt: relaxed, PBE.

Values from the calculation:
Crystal system   trigonal
Formation energy (no corrections)   -0.180 eV/atom

a = 9.7207 Å, b = 9.7207 Å, c = 9.7207 Å
α = 23.55°, β = 23.55°, γ = 23.55°
Fractional positions:
In 0.0000 0.0000 0.0000
Te 0.1161 0.1161 0.1161
Te 0.8839 0.8839 0.8839
Pt 0.5000 0.5000 0.5000